First-principles (PBE) data for crystalline CaY3Pd at its relaxed geometry, as listed in Alexandria.

a = 5.5407 Å, b = 5.5407 Å, c = 5.5407 Å
α = 90.00°, β = 90.00°, γ = 90.00°
Closest atoms and distances in Å follow each position.
Atoms (fractional coordinates):
1 Y 0.5000 0.0000 0.0000  2 Pd 2.77
2 Y 0.0000 0.5000 0.0000  2 Pd 2.77
3 Y 0.0000 0.0000 0.5000  2 Pd 2.77
4 Ca 0.5000 0.5000 0.5000  12 Y 3.92
5 Pd 0.0000 0.0000 0.0000  6 Y 2.77

VASP energy: -5.50 eV per atom
N(E_F): 9.6 states/eV per cell
total magnetization: 0.01 Bohr magnetons per cell

First-principles (PBE) data for crystalline SbOs2Pt at its relaxed geometry, as listed in Alexandria.

a = 4.5447 Å, b = 4.5447 Å, c = 4.5447 Å
α = 60.00°, β = 60.00°, γ = 60.00°
Closest atoms and distances in Å follow each position.
Atoms (fractional coordinates):
1 Os 0.0000 0.0000 0.0000  4 Sb 2.78, 4 Os 2.78
2 Os 0.2500 0.2500 0.2500  4 Pt 2.78, 4 Os 2.78
3 Sb 0.7500 0.7500 0.7500  4 Os 2.78, 4 Pt 2.78
4 Pt 0.5000 0.5000 0.5000  4 Sb 2.78, 4 Os 2.78

N(E_F): 4.5 states/eV per cell
total magnetization: 0.00 Bohr magnetons per cell
formation energy (no corrections): 0.71 eV per atom

First-principles (PBE) data for crystalline PaFeCu4 at its relaxed geometry, as listed in Alexandria.

a = 4.9634 Å, b = 4.9634 Å, c = 4.9634 Å
α = 60.00°, β = 60.00°, γ = 60.00°
Closest atoms and distances in Å follow each position.
Atoms (fractional coordinates):
1 Cu 0.1209 0.6264 0.6264  6 Cu 2.45-2.51
2 Cu 0.6264 0.1209 0.6264  6 Cu 2.45-2.51
3 Cu 0.6264 0.6264 0.1209  6 Cu 2.45-2.51
4 Cu 0.6264 0.6264 0.6264  6 Cu 2.45-2.51
5 Pa 0.2500 0.2500 0.2500  12 Cu 2.91, 4 Fe 3.04
6 Fe 0.0000 0.0000 0.0000  12 Cu 2.91, 4 Pa 3.04

VASP energy: -5.69 eV per atom
N(E_F): 6.4 states/eV per cell
total magnetization: 1.99 Bohr magnetons per cell

First-principles (PBE) data for crystalline BaCu2As6Au2 at its relaxed geometry, as listed in Alexandria.

a = 6.5375 Å, b = 7.2808 Å, c = 8.6841 Å
α = 119.78°, β = 106.97°, γ = 48.60°
Closest atoms and distances in Å follow each position.
Atoms (fractional coordinates):
1 Ba 0.5000 0.0000 0.5000  2 Au 3.29, 4 As 3.42-3.64
2 As 0.6077 0.2573 0.9407  2 Cu 2.40-2.46, 2 As 2.49-2.50
3 As 0.2473 0.7044 0.5397  1 Cu 2.41, 1 As 2.56, 1 Au 2.56
4 As 0.7215 0.7491 0.9763  2 As 2.50-2.67, 2 Au 2.58-2.62
5 As 0.2785 0.2509 0.0237  2 As 2.50-2.67, 2 Au 2.58-2.62
6 As 0.3923 0.7427 0.0593  2 Cu 2.40-2.46, 2 As 2.49-2.50
7 As 0.7527 0.2956 0.4603  1 Cu 2.41, 1 As 2.56, 1 Au 2.56
8 Au 0.0026 0.2429 0.7420  4 As 2.56-2.74, 1 Cu 2.78
9 Au 0.9974 0.7571 0.2580  4 As 2.56-2.74, 1 Cu 2.78
10 Cu 0.9091 0.1182 0.1647  3 As 2.40-2.46, 1 Cu 2.63
11 Cu 0.0909 0.8818 0.8353  3 As 2.40-2.46, 1 Cu 2.63

VASP energy: -4.21 eV per atom
N(E_F): 2.4 states/eV per cell
total magnetization: 0.00 Bohr magnetons per cell

First-principles (PBE) data for crystalline Tc3Ir5 at its relaxed geometry, as listed in Alexandria.

a = 5.4703 Å, b = 5.4703 Å, c = 3.8660 Å
α = 90.00°, β = 90.00°, γ = 90.40°
Closest atoms and distances in Å follow each position.
Atoms (fractional coordinates):
1 Ir 0.2511 0.7489 0.5000  6 Tc 2.71-2.76, 6 Ir 2.73-2.75
2 Ir 0.0000 0.5000 0.0000  6 Ir 2.73-2.74, 6 Tc 2.74
3 Ir 0.7489 0.2511 0.5000  6 Tc 2.71-2.76, 6 Ir 2.73-2.75
4 Ir 0.0000 0.0000 0.0000  8 Ir 2.74-2.75, 4 Tc 2.75
5 Ir 0.5000 0.0000 0.0000  6 Ir 2.73-2.74, 6 Tc 2.74
6 Tc 0.5000 0.5000 0.0000  4 Tc 2.71, 8 Ir 2.73-2.74
7 Tc 0.7462 0.7462 0.5000  10 Ir 2.71-2.76, 2 Tc 2.71
8 Tc 0.2538 0.2538 0.5000  10 Ir 2.71-2.76, 2 Tc 2.71

VASP energy: -9.58 eV per atom
N(E_F): 7.5 states/eV per cell
total magnetization: 0.00 Bohr magnetons per cell

First-principles (PBE) data for crystalline Sc3GeAs at its relaxed geometry, as listed in Alexandria.

a = 3.8557 Å, b = 7.6308 Å, c = 7.6952 Å
α = 94.54°, β = 90.00°, γ = 90.00°
Closest atoms and distances in Å follow each position.
Atoms (fractional coordinates):
1 As 0.2500 0.8542 0.3196  6 Sc 2.67-2.71
2 As 0.7500 0.1458 0.6804  6 Sc 2.67-2.71
3 Ge 0.7500 0.6399 0.7537  8 Sc 2.78-3.00
4 Ge 0.2500 0.3601 0.2463  8 Sc 2.78-3.00
5 Sc 0.2500 0.6596 0.0152  1 As 2.67, 2 Ge 2.78
6 Sc 0.7500 0.6128 0.3683  2 As 2.71, 3 Ge 2.83-2.96
7 Sc 0.2500 0.8986 0.6680  3 As 2.68-2.69, 2 Ge 2.87
8 Sc 0.2500 0.3872 0.6317  2 As 2.71, 3 Ge 2.83-2.96
9 Sc 0.7500 0.1014 0.3320  3 As 2.68-2.69, 2 Ge 2.87
10 Sc 0.7500 0.3404 0.9848  1 As 2.67, 2 Ge 2.78

VASP energy: -6.52 eV per atom
N(E_F): 12.4 states/eV per cell
total magnetization: 0.46 Bohr magnetons per cell

First-principles (PBE) data for crystalline SnN at its relaxed geometry, as listed in Alexandria.

a = 8.8445 Å, b = 8.8890 Å, c = 6.1673 Å
α = 90.00°, β = 90.00°, γ = 90.00°
Closest atoms and distances in Å follow each position.
Atoms (fractional coordinates):
1 N 0.2500 0.9253 0.7500  4 Sn 2.20-2.31
2 N 0.7500 0.4253 0.7500  4 Sn 2.20-2.31
3 N 0.7500 0.0747 0.7500  4 Sn 2.20-2.31
4 N 0.0000 0.1753 0.5000  4 Sn 2.20-2.31
5 N 0.2500 0.5747 0.7500  4 Sn 2.20-2.31
6 N 0.2500 0.0747 0.2500  4 Sn 2.20-2.31
7 N 0.5000 0.1753 0.0000  4 Sn 2.20-2.31
8 N 0.0000 0.6753 0.0000  4 Sn 2.20-2.31
9 N 0.5000 0.8247 0.0000  4 Sn 2.20-2.31
10 N 0.7500 0.5747 0.2500  4 Sn 2.20-2.31
11 N 0.0000 0.3247 0.0000  4 Sn 2.20-2.31
12 N 0.7500 0.9253 0.2500  4 Sn 2.20-2.31
13 N 0.5000 0.6753 0.5000  4 Sn 2.20-2.31
14 N 0.5000 0.3247 0.5000  4 Sn 2.20-2.31
15 N 0.0000 0.8247 0.5000  4 Sn 2.20-2.31
16 N 0.2500 0.4253 0.2500  4 Sn 2.20-2.31
17 Sn 0.2500 0.2500 0.9989  4 N 2.20-2.31
18 Sn 0.7500 0.2500 0.4989  4 N 2.20-2.31
19 Sn 0.5000 0.0000 0.7489  4 N 2.20-2.31
20 Sn 0.7500 0.7500 0.5011  4 N 2.20-2.31
21 Sn 0.7500 0.2500 0.0011  4 N 2.20-2.31
22 Sn 0.2500 0.7500 0.4989  4 N 2.20-2.31
23 Sn 0.7500 0.7500 0.9989  4 N 2.20-2.31
24 Sn 0.0000 0.0000 0.7511  4 N 2.20-2.31
25 Sn 0.2500 0.2500 0.5011  4 N 2.20-2.31
26 Sn 0.0000 0.5000 0.7489  4 N 2.20-2.31
27 Sn 0.0000 0.0000 0.2489  4 N 2.20-2.31
28 Sn 0.5000 0.0000 0.2511  4 N 2.20-2.31
29 Sn 0.0000 0.5000 0.2511  4 N 2.20-2.31
30 Sn 0.5000 0.5000 0.2489  4 N 2.20-2.31
31 Sn 0.2500 0.7500 0.0011  4 N 2.20-2.31
32 Sn 0.5000 0.5000 0.7511  4 N 2.20-2.31

total magnetization: 0.00 Bohr magnetons per cell
formation energy (no corrections): 0.52 eV per atom

First-principles (PBE) data for crystalline Al2ReMo at its relaxed geometry, as listed in Alexandria.

a = 4.4594 Å, b = 2.7045 Å, c = 4.9907 Å
α = 81.98°, β = 90.00°, γ = 90.00°
Closest atoms and distances in Å follow each position.
Atoms (fractional coordinates):
1 Al 0.5000 0.1465 0.2629  3 Re 2.63-2.86, 4 Al 2.64-2.70, 4 Mo 2.76-2.89
2 Al 0.0000 0.0938 0.9847  3 Mo 2.63-2.91, 4 Al 2.64-2.70, 4 Re 2.73-2.91
3 Re 0.5000 0.7189 0.7704  7 Al 2.63-2.91, 2 Re 2.70, 2 Mo 2.73
4 Mo 0.0000 0.5409 0.4819  7 Al 2.63-2.91, 2 Mo 2.70, 2 Re 2.73

VASP energy: -7.78 eV per atom
N(E_F): 2.8 states/eV per cell
total magnetization: 0.00 Bohr magnetons per cell

First-principles (PBE) data for crystalline ZnAs2Pb at its relaxed geometry, as listed in Alexandria.

a = 4.3062 Å, b = 4.3062 Å, c = 7.5573 Å
α = 66.72°, β = 66.72°, γ = 49.93°
Closest atoms and distances in Å follow each position.
Atoms (fractional coordinates):
1 As 0.6733 0.6733 0.7702  2 As 2.59
2 As 0.0491 0.0491 0.0403  3 Zn 2.51-2.62, 2 As 2.59
3 Pb 0.4950 0.4950 0.5032  3 As 2.91-3.04, 2 Zn 3.06
4 Zn 0.2827 0.2827 0.1863  3 As 2.51-2.62

VASP energy: -3.49 eV per atom
N(E_F): 1.5 states/eV per cell
total magnetization: 0.00 Bohr magnetons per cell

First-principles (PBE) data for crystalline Dy5Ho4Sc3 at its relaxed geometry, as listed in Alexandria.

a = 5.6804 Å, b = 8.4448 Å, c = 9.3176 Å
α = 106.24°, β = 72.25°, γ = 70.35°
Closest atoms and distances in Å follow each position.
Atoms (fractional coordinates):
1 Dy 0.5000 0.5000 0.5000  4 Sc 2.84-3.06
2 Dy 0.7951 0.5305 0.8793  4 Sc 3.12-3.31, 3 Ho 3.36-3.45
3 Dy 0.2049 0.4695 0.1207  4 Sc 3.12-3.31, 3 Ho 3.36-3.45
4 Dy 0.3637 0.0613 0.2112  2 Sc 3.16-3.33, 1 Dy 3.45, 2 Ho 3.50
5 Dy 0.6363 0.9387 0.7888  2 Sc 3.16-3.33, 1 Dy 3.45, 2 Ho 3.50
6 Ho 0.8588 0.2227 0.0597  2 Ho 3.24-3.53, 6 Dy 3.36-3.60, 1 Sc 3.40
7 Ho 0.1628 0.0531 0.6213  3 Sc 3.22-3.37, 3 Ho 3.44-3.53, 3 Dy 3.50
8 Ho 0.8372 0.9469 0.3787  3 Sc 3.22-3.37, 3 Ho 3.44-3.53, 3 Dy 3.50
9 Ho 0.1412 0.7773 0.9403  2 Ho 3.24-3.53, 6 Dy 3.36-3.60, 1 Sc 3.40
10 Sc 0.0000 0.5000 0.5000  2 Dy 2.84
11 Sc 0.5190 0.6944 0.2676  5 Dy 3.06-3.31, 4 Ho 3.22-3.40
12 Sc 0.4810 0.3056 0.7324  5 Dy 3.06-3.31, 4 Ho 3.22-3.40

VASP energy: -4.81 eV per atom
N(E_F): 20.1 states/eV per cell
total magnetization: 0.59 Bohr magnetons per cell

First-principles (PBE) data for crystalline Tb2ZnCo3Ge4 at its relaxed geometry, as listed in Alexandria.

a = 4.0780 Å, b = 4.0780 Å, c = 9.9317 Å
α = 90.00°, β = 90.00°, γ = 90.00°
Closest atoms and distances in Å follow each position.
Atoms (fractional coordinates):
1 Ge 0.0000 0.5000 0.3538  3 Co 2.31-2.50, 2 Zn 2.50
2 Ge 0.0000 0.0000 0.0000  4 Co 2.37
3 Ge 0.5000 0.0000 0.6462  3 Co 2.31-2.50, 2 Zn 2.50
4 Ge 0.5000 0.5000 0.0000  4 Co 2.37
5 Co 0.5000 0.0000 0.8789  5 Ge 2.31-2.37
6 Co 0.0000 0.5000 0.1211  5 Ge 2.31-2.37
7 Co 0.0000 0.0000 0.5000  4 Ge 2.50
8 Zn 0.5000 0.5000 0.5000  4 Ge 2.50
9 Tb 0.0000 0.5000 0.7609  8 Ge 3.10-3.13, 6 Co 3.11-3.30, 2 Zn 3.30
10 Tb 0.5000 0.0000 0.2391  8 Ge 3.10-3.13, 6 Co 3.11-3.30, 2 Zn 3.30

VASP energy: -5.56 eV per atom
N(E_F): 6.8 states/eV per cell
total magnetization: 0.65 Bohr magnetons per cell

First-principles (PBE) data for crystalline PmThCd2 at its relaxed geometry, as listed in Alexandria.

a = 4.5384 Å, b = 4.9447 Å, c = 4.9447 Å
α = 90.00°, β = 90.00°, γ = 90.00°
Closest atoms and distances in Å follow each position.
Atoms (fractional coordinates):
1 Th 0.5000 0.0000 0.0000  8 Cd 3.36, 4 Pm 3.50
2 Cd 0.0000 0.5000 0.0000  4 Th 3.36, 4 Pm 3.36, 4 Cd 3.50
3 Cd 0.0000 0.0000 0.5000  4 Th 3.36, 4 Pm 3.36, 4 Cd 3.50
4 Pm 0.5000 0.5000 0.5000  8 Cd 3.36, 4 Th 3.50

VASP energy: -3.67 eV per atom
N(E_F): 4.0 states/eV per cell
total magnetization: 0.00 Bohr magnetons per cell

Question: Among the records above, which one has the highest total magnetization?
Answer: PaFeCu4

Question: Look up the total magnetization of the third one.
Answer: 1.99 Bohr magnetons per cell

Question: Which of these has the highest total magnetization?
Answer: PaFeCu4

Question: Number 9 is which compound?
Answer: ZnAs2Pb